## BeCuReSb (PBE)

Data for a relaxed BeCuReSb crystal.

a b c (Å): 4.3593 4.3593 4.3593
angles (deg): 60.00 60.00 60.00
Closest atoms and distances in Å follow each position.
Fractional coordinates of all 4 atoms:
Be  0.0000  0.0000  0.0000  4 Cu 2.67, 4 Re 2.67
Cu  0.7500  0.7500  0.7500  4 Sb 2.67, 4 Be 2.67
Re  0.2500  0.2500  0.2500  4 Sb 2.67, 4 Be 2.67
Sb  0.5000  0.5000  0.5000  4 Cu 2.67, 4 Re 2.67

SG: F-43m
E in eV/cell: -21.66